A plane-wave DFT calculation with GGA-PBE was carried out for a relaxed structure of TiSe2Br.

Properties
* ΔE_f (raw): 0.409 eV/atom
* DOS(E_F): 1.202 states/eV per atom
* energy above the most stable polymorph in this dataset: 1130 meV/atom
* calculated total energy: -44.7 eV per cell

Cell and atoms, written as CIF:
```
data_TiSe2Br
_chemical_formula_sum 'Ti3 Se6 Br3'
_cell_length_a 3.4726
_cell_length_b 3.4726
_cell_length_c 28.2964
_cell_angle_alpha 90.00
_cell_angle_beta 90.00
_cell_angle_gamma 120.00
_space_group_name_H-M_alt 'R -3 m'
_space_group_IT_number 166
_space_group_name_Hall '-R 3 2"'
loop_
_atom_site_label
_atom_site_type_symbol
_atom_site_fract_x
_atom_site_fract_y
_atom_site_fract_z
Ti1 Ti 0.0000 0.0000 0.0000
Se1 Se 0.0000 0.0000 0.0829
Br1 Br 0.0000 0.0000 0.5000
```

***

A plane-wave DFT calculation with GGA-PBE was carried out for a relaxed structure of CeGd2Ni.

Properties
* DOS(E_F): 1.764 states/eV per atom
* calculated total energy: -40.3 eV per cell
* formation energy: -0.107 eV/atom

Cell and atoms, written as CIF:
```
data_CeGd2Ni
_chemical_formula_sum 'Ce1 Gd2 Ni1'
_cell_length_a 3.445
_cell_length_b 3.445
_cell_length_c 8.639
_cell_angle_alpha 90.00
_cell_angle_beta 90.00
_cell_angle_gamma 90.00
_space_group_name_H-M_alt 'P 4/m m m'
_space_group_IT_number 123
_space_group_name_Hall '-P 4 2'
loop_
_atom_site_label
_atom_site_type_symbol
_atom_site_fract_x
_atom_site_fract_y
_atom_site_fract_z
Ce1 Ce 0.000 0.000 0.000
Gd1 Gd 0.500 0.500 0.310
Ni1 Ni 0.000 0.000 0.500
```

***

A plane-wave DFT calculation with GGA-PBE was carried out for a relaxed structure of Ac2LaIn.

Properties
* DOS(E_F): 1.871 states/eV per atom
* energy above the most stable polymorph in this dataset: 294 meV/atom
* calculated total energy: -46.7 eV per cell
* formation energy: 0.083 eV/atom

Cell and atoms, written as CIF:
```
data_Ac2LaIn
_chemical_formula_sum 'Ac6 La3 In3'
_cell_length_a 3.7901
_cell_length_b 3.7901
_cell_length_c 38.2155
_cell_angle_alpha 90.00
_cell_angle_beta 90.00
_cell_angle_gamma 120.00
_space_group_name_H-M_alt 'R -3 m'
_space_group_IT_number 166
_space_group_name_Hall '-R 3 2"'
loop_
_atom_site_label
_atom_site_type_symbol
_atom_site_fract_x
_atom_site_fract_y
_atom_site_fract_z
Ac1 Ac 0.0000 0.0000 0.0961
La1 La 0.0000 0.0000 0.0000
In1 In 0.0000 0.0000 0.5000
```

***

A plane-wave DFT calculation with GGA-PBE was carried out for a relaxed structure of BTeI2O.

Properties
* ΔE_f (raw): 0.782 eV/atom
* DOS(E_F): 0.525 states/eV per atom
* energy above the most stable polymorph in this dataset: 710 meV/atom
* calculated total energy: -14.0 eV per cell

Cell and atoms, written as CIF:
```
data_BTeI2O
_chemical_formula_sum 'B1 Te1 I2 O1'
_cell_length_a 6.142
_cell_length_b 6.142
_cell_length_c 4.058
_cell_angle_alpha 90.00
_cell_angle_beta 90.00
_cell_angle_gamma 90.00
_space_group_name_H-M_alt 'P 4/m m m'
_space_group_IT_number 123
_space_group_name_Hall '-P 4 2'
loop_
_atom_site_label
_atom_site_type_symbol
_atom_site_fract_x
_atom_site_fract_y
_atom_site_fract_z
B1 B 0.000 0.000 0.000
Te1 Te 0.500 0.500 0.500
I1 I 0.000 0.500 0.500
O1 O 0.500 0.500 0.000
```

***

A plane-wave DFT calculation with GGA-PBE was carried out for a relaxed structure of LiLa2TaCr.

Properties
* DOS(E_F): 0.955 states/eV per atom
* calculated total energy: -29.4 eV per cell
* formation energy: 0.767 eV/atom

Cell and atoms, written as CIF:
```
data_LiLa2TaCr
_chemical_formula_sum 'Li1 La2 Ta1 Cr1'
_cell_length_a 5.734
_cell_length_b 5.734
_cell_length_c 4.823
_cell_angle_alpha 90.00
_cell_angle_beta 90.00
_cell_angle_gamma 90.00
_space_group_name_H-M_alt 'P 4/m m m'
_space_group_IT_number 123
_space_group_name_Hall '-P 4 2'
loop_
_atom_site_label
_atom_site_type_symbol
_atom_site_fract_x
_atom_site_fract_y
_atom_site_fract_z
Li1 Li 0.000 0.000 0.000
La1 La 0.000 0.500 0.500
Ta1 Ta 0.500 0.500 0.500
Cr1 Cr 0.500 0.500 0.000
```

***

A plane-wave DFT calculation with GGA-PBE was carried out for a relaxed structure of CaCd2P.

Properties
* DOS(E_F): 0.628 states/eV per atom
* calculated total energy: -20.1 eV per cell
* formation energy: -0.207 eV/atom

Cell and atoms, written as CIF:
```
data_CaCd2P
_chemical_formula_sum 'Ca2 Cd4 P2'
_cell_length_a 4.376
_cell_length_b 5.631
_cell_length_c 7.779
_cell_angle_alpha 90.00
_cell_angle_beta 90.00
_cell_angle_gamma 90.00
_space_group_name_H-M_alt 'I m m 2'
_space_group_IT_number 44
_space_group_name_Hall 'I 2 -2'
loop_
_atom_site_label
_atom_site_type_symbol
_atom_site_fract_x
_atom_site_fract_y
_atom_site_fract_z
Ca1 Ca 0.000 0.000 0.000
Cd1 Cd 0.000 0.000 0.454
Cd2 Cd 0.000 0.500 0.212
P1 P 0.000 0.500 0.757
```

***

A plane-wave DFT calculation with GGA-PBE was carried out for a relaxed structure of ScTcSe2.

Properties
* ΔE_f (raw): -0.480 eV/atom
* DOS(E_F): 1.031 states/eV per atom
* energy above the most stable polymorph in this dataset: 218 meV/atom
* calculated total energy: -51.2 eV per cell

Cell and atoms, written as CIF:
```
data_ScTcSe2
_chemical_formula_sum 'Sc2 Tc2 Se4'
_cell_length_a 3.233
_cell_length_b 4.504
_cell_length_c 10.071
_cell_angle_alpha 90.00
_cell_angle_beta 90.00
_cell_angle_gamma 90.00
_space_group_name_H-M_alt 'I m m 2'
_space_group_IT_number 44
_space_group_name_Hall 'I 2 -2'
loop_
_atom_site_label
_atom_site_type_symbol
_atom_site_fract_x
_atom_site_fract_y
_atom_site_fract_z
Sc1 Sc 0.000 0.000 0.000
Tc1 Tc 0.000 0.500 0.207
Se1 Se 0.000 0.000 0.516
Se2 Se 0.000 0.500 0.727
```

***

A plane-wave DFT calculation with GGA-PBE was carried out for a relaxed structure of BaLiSiAu2.

Properties
* ΔE_f (raw): -0.365 eV/atom
* DOS(E_F): 0.655 states/eV per atom
* energy above the most stable polymorph in this dataset: 61 meV/atom
* calculated total energy: -17.6 eV per cell

Cell and atoms, written as CIF:
```
data_BaLiSiAu2
_chemical_formula_sum 'Ba1 Li1 Si1 Au2'
_cell_length_a 4.3999
_cell_length_b 4.3999
_cell_length_c 7.5663
_cell_angle_alpha 90.00
_cell_angle_beta 90.00
_cell_angle_gamma 120.00
_space_group_name_H-M_alt 'P 3 m 1'
_space_group_IT_number 156
_space_group_name_Hall 'P 3 -2"'
loop_
_atom_site_label
_atom_site_type_symbol
_atom_site_fract_x
_atom_site_fract_y
_atom_site_fract_z
Ba1 Ba 0.0000 0.0000 0.0000
Li1 Li 0.3333 0.6667 0.6257
Si1 Si 0.6667 0.3333 0.3399
Au1 Au 0.3333 0.6667 0.2971
Au2 Au 0.6667 0.3333 0.6792
```

***

A plane-wave DFT calculation with GGA-PBE was carried out for a relaxed structure of SeBr.

Properties
* ΔE_f (raw): 0.132 eV/atom
* DOS(E_F): 0.235 states/eV per atom
* calculated total energy: -9.8 eV per cell

Cell and atoms, written as CIF:
```
data_SeBr
_chemical_formula_sum 'Se2 Br2'
_cell_length_a 4.233
_cell_length_b 4.233
_cell_length_c 7.446
_cell_angle_alpha 90.00
_cell_angle_beta 90.00
_cell_angle_gamma 90.00
_space_group_name_H-M_alt 'P 4/n m m'
_space_group_IT_number 129
loop_
_space_group_symop_operation_xyz
'x,y,z'
'-x,-y,-z'
'-y+1/2,x,z'
'y+1/2,-x,-z'
'-x+1/2,-y+1/2,z'
'x+1/2,y+1/2,-z'
'y,-x+1/2,z'
'-y,x+1/2,-z'
'x+1/2,-y,-z'
'-x+1/2,y,z'
'-y,-x,-z'
'y,x,z'
'-x,y+1/2,-z'
'x,-y+1/2,z'
'y+1/2,x+1/2,-z'
'-y+1/2,-x+1/2,z'
loop_
_atom_site_label
_atom_site_type_symbol
_atom_site_fract_x
_atom_site_fract_y
_atom_site_fract_z
Se1 Se 0.250 0.250 0.003
Br1 Br 0.250 0.250 0.690
```

***

A plane-wave DFT calculation with GGA-PBE was carried out for a relaxed structure of Li2PuPaS4.

Properties
* ΔE_f (raw): -1.535 eV/atom
* DOS(E_F): 1.163 states/eV per atom
* calculated total energy: -56.4 eV per cell

Cell and atoms, written as CIF:
```
data_Li2PuPaS4
_chemical_formula_sum 'Li2 Pu1 Pa1 S4'
_cell_length_a 6.586
_cell_length_b 3.921
_cell_length_c 6.816
_cell_angle_alpha 90.00
_cell_angle_beta 109.95
_cell_angle_gamma 90.00
_space_group_name_H-M_alt 'P 1 2/m 1'
_space_group_IT_number 10
_space_group_name_Hall '-P 2y'
loop_
_atom_site_label
_atom_site_type_symbol
_atom_site_fract_x
_atom_site_fract_y
_atom_site_fract_z
Li1 Li 0.000 0.000 0.000
Li2 Li 0.000 0.500 0.500
Pu1 Pu 0.500 0.000 0.500
Pa1 Pa 0.500 0.500 0.000
S1 S 0.243 0.000 0.753
S2 S 0.246 0.500 0.241
```